Entry 1:
Material: RbBaLuS3
Method: DFT, PBE-GGA
State: relaxed Values from VASP.

ρ ... 3.5 g/cm3
Magnetization ... 0.0007 μB/atom
Uncorrected energy ... -58.75 eV per cell

Quantum ESPRESSO input file:
```
&SYSTEM
  ibrav = 0, nat = 12, ntyp = 4
/
ATOMIC_SPECIES
Rb 85.47 Rb.upf
Ba 137.33 Ba.upf
Lu 174.97 Lu.upf
S 32.06 S.upf
CELL_PARAMETERS angstrom
2.0554 -9.5644 0.0000
2.0554 9.5644 0.0000
0.0000 0.0000 11.8309
ATOMIC_POSITIONS crystal
Rb 0.1315 0.8685 0.7500
Rb 0.8685 0.1315 0.2500
Ba 0.1128 0.8872 0.2500
Ba 0.8872 0.1128 0.7500
Lu 0.5000 0.5000 0.0000
Lu 0.5000 0.5000 0.5000
S 0.0930 0.9070 0.0019
S 0.0930 0.9070 0.4981
S 0.4985 0.5015 0.7500
S 0.5015 0.4985 0.2500
S 0.9070 0.0930 0.5019
S 0.9070 0.0930 0.9981
```



Entry 2:
Material: BaLuRe
Method: DFT, PBE-GGA
State: relaxed Values from VASP.

ρ ... 10.0 g/cm3
ΔE to the lowest computed polymorph ... 980.5 meV per atom
Magnetization ... 0.1994 μB/atom

Quantum ESPRESSO input file:
```
&SYSTEM
  ibrav = 0, nat = 3, ntyp = 3
/
ATOMIC_SPECIES
Ba 137.33 Ba.upf
Lu 174.97 Lu.upf
Re 186.21 Re.upf
CELL_PARAMETERS angstrom
0.0000 3.4584 3.4584
3.4584 0.0000 3.4584
3.4584 3.4584 0.0000
ATOMIC_POSITIONS crystal
Ba 0.0000 0.0000 0.0000
Lu 0.7500 0.7500 0.7500
Re 0.2500 0.2500 0.2500
```



Entry 3:
Material: BaLuRe
Method: DFT, PBE-GGA
State: relaxed Values from VASP.

ρ ... 9.6 g/cm3
ΔE to the lowest computed polymorph ... 0.0 meV per atom
Magnetization ... 0.0006 μB/atom

Quantum ESPRESSO input file:
```
&SYSTEM
  ibrav = 0, nat = 3, ntyp = 3
/
ATOMIC_SPECIES
Ba 137.33 Ba.upf
Lu 174.97 Lu.upf
Re 186.21 Re.upf
CELL_PARAMETERS angstrom
0.0000 3.5039 3.5039
3.5039 0.0000 3.5039
3.5039 3.5039 0.0000
ATOMIC_POSITIONS crystal
Ba 0.0000 0.0000 0.0000
Lu 0.5000 0.5000 0.5000
Re 0.2500 0.2500 0.2500
```



Entry 4:
Material: BaLuRe2
Method: DFT, PBE-GGA
State: relaxed Values from VASP.

ρ ... 13.5 g/cm3
Magnetization ... 0.0008 μB/atom
Uncorrected energy ... -26.77 eV per cell

Quantum ESPRESSO input file:
```
&SYSTEM
  ibrav = 0, nat = 4, ntyp = 3
/
ATOMIC_SPECIES
Ba 137.33 Ba.upf
Lu 174.97 Lu.upf
Re 186.21 Re.upf
CELL_PARAMETERS angstrom
0.0000 3.4791 3.4791
3.4791 0.0000 3.4791
3.4791 3.4791 0.0000
ATOMIC_POSITIONS crystal
Ba 0.0000 0.0000 0.0000
Lu 0.2500 0.2500 0.2500
Re 0.5000 0.5000 0.5000
Re 0.7500 0.7500 0.7500
```



Entry 5:
Material: BaLu2S4
Method: DFT, PBE-GGA
State: relaxed Values from VASP.

ρ ... 5.9 g/cm3
Magnetization ... 0.0000 μB/atom
Uncorrected energy ... -169.64 eV per cell

Quantum ESPRESSO input file:
```
&SYSTEM
  ibrav = 0, nat = 28, ntyp = 3
/
ATOMIC_SPECIES
Ba 137.33 Ba.upf
Lu 174.97 Lu.upf
S 32.06 S.upf
CELL_PARAMETERS angstrom
12.1797 0.0000 0.0000
0.0000 3.9748 0.0000
0.0000 0.0000 14.3299
ATOMIC_POSITIONS crystal
Ba 0.2419 0.2500 0.1617
Ba 0.2581 0.7500 0.6617
Ba 0.7419 0.2500 0.3383
Ba 0.7581 0.7500 0.8383
Lu 0.0653 0.2500 0.3910
Lu 0.0787 0.2500 0.8988
Lu 0.4213 0.7500 0.3988
Lu 0.4347 0.7500 0.8910
Lu 0.5653 0.2500 0.1090
Lu 0.5787 0.2500 0.6012
Lu 0.9213 0.7500 0.1012
Lu 0.9347 0.7500 0.6090
S 0.0235 0.7500 0.7832
S 0.0805 0.2500 0.5756
S 0.1215 0.7500 0.0225
S 0.2067 0.7500 0.3409
S 0.2933 0.2500 0.8409
S 0.3785 0.2500 0.5225
S 0.4195 0.7500 0.0756
S 0.4765 0.2500 0.2832
S 0.5235 0.7500 0.7168
S 0.5805 0.2500 0.9244
S 0.6215 0.7500 0.4775
S 0.7067 0.7500 0.1591
S 0.7933 0.2500 0.6591
S 0.8785 0.2500 0.9775
S 0.9195 0.7500 0.4244
S 0.9765 0.2500 0.2168
```



Entry 6:
Material: BaLuZnS3
Method: DFT, PBE-GGA
State: relaxed Values from VASP.

ρ ... 5.5 g/cm3
Magnetization ... 0.0061 μB/atom
Uncorrected energy ... -58.26 eV per cell

Quantum ESPRESSO input file:
```
&SYSTEM
  ibrav = 0, nat = 12, ntyp = 4
/
ATOMIC_SPECIES
Ba 137.33 Ba.upf
Lu 174.97 Lu.upf
Zn 65.41 Zn.upf
S 32.06 S.upf
CELL_PARAMETERS angstrom
2.0611 -6.7996 0.0000
2.0611 6.7996 0.0000
0.0000 0.0000 10.1351
ATOMIC_POSITIONS crystal
Ba 0.2473 0.7527 0.7500
Ba 0.7527 0.2473 0.2500
Lu 0.5000 0.5000 0.0000
Lu 0.5000 0.5000 0.5000
Zn 0.0246 0.9754 0.2500
Zn 0.9754 0.0246 0.7500
S 0.1276 0.8724 0.0620
S 0.1276 0.8724 0.4380
S 0.4345 0.5655 0.2500
S 0.5655 0.4345 0.7500
S 0.8724 0.1276 0.5620
S 0.8724 0.1276 0.9380
```



Entry 7:
Material: BaLuSc
Method: DFT, PBE-GGA
State: relaxed Values from VASP.

ρ ... 4.9 g/cm3
ΔE to the lowest computed polymorph ... 0.0 meV per atom
Magnetization ... 0.3285 μB/atom

Quantum ESPRESSO input file:
```
&SYSTEM
  ibrav = 0, nat = 3, ntyp = 3
/
ATOMIC_SPECIES
Ba 137.33 Ba.upf
Lu 174.97 Lu.upf
Sc 44.96 Sc.upf
CELL_PARAMETERS angstrom
0.0000 3.9340 3.9340
3.9340 0.0000 3.9340
3.9340 3.9340 0.0000
ATOMIC_POSITIONS crystal
Ba 0.0000 0.0000 0.0000
Lu 0.5000 0.5000 0.5000
Sc 0.2500 0.2500 0.2500
```



Entry 8:
Material: Ba2LuSc
Method: DFT, PBE-GGA
State: relaxed Values from VASP.

ρ ... 5.3 g/cm3
Magnetization ... 0.0006 μB/atom
Uncorrected energy ... -13.14 eV per cell

Quantum ESPRESSO input file:
```
&SYSTEM
  ibrav = 0, nat = 4, ntyp = 3
/
ATOMIC_SPECIES
Ba 137.33 Ba.upf
Lu 174.97 Lu.upf
Sc 44.96 Sc.upf
CELL_PARAMETERS angstrom
0.0000 4.2637 4.2637
4.2637 0.0000 4.2637
4.2637 4.2637 0.0000
ATOMIC_POSITIONS crystal
Ba 0.0000 0.0000 0.0000
Ba 0.2500 0.2500 0.2500
Lu 0.5000 0.5000 0.5000
Sc 0.7500 0.7500 0.7500
```



Entry 9:
Material: BaLuSc2
Method: DFT, PBE-GGA
State: relaxed Values from VASP.

ρ ... 5.5 g/cm3
Magnetization ... 0.0099 μB/atom
Uncorrected energy ... -17.60 eV per cell

Quantum ESPRESSO input file:
```
&SYSTEM
  ibrav = 0, nat = 4, ntyp = 3
/
ATOMIC_SPECIES
Ba 137.33 Ba.upf
Lu 174.97 Lu.upf
Sc 44.96 Sc.upf
CELL_PARAMETERS angstrom
0.0000 3.9414 3.9414
3.9414 0.0000 3.9414
3.9414 3.9414 0.0000
ATOMIC_POSITIONS crystal
Ba 0.0000 0.0000 0.0000
Lu 0.2500 0.2500 0.2500
Sc 0.5000 0.5000 0.5000
Sc 0.7500 0.7500 0.7500
```



Entry 10:
Material: BaLu2Sc
Method: DFT, PBE-GGA
State: relaxed Values from VASP.

ρ ... 6.8 g/cm3
Magnetization ... 0.0048 μB/atom
Uncorrected energy ... -15.93 eV per cell

Quantum ESPRESSO input file:
```
&SYSTEM
  ibrav = 0, nat = 4, ntyp = 3
/
ATOMIC_SPECIES
Ba 137.33 Ba.upf
Lu 174.97 Lu.upf
Sc 44.96 Sc.upf
CELL_PARAMETERS angstrom
0.0000 4.0247 4.0247
4.0247 0.0000 4.0247
4.0247 4.0247 0.0000
ATOMIC_POSITIONS crystal
Ba 0.0000 0.0000 0.0000
Lu 0.2500 0.2500 0.2500
Lu 0.5000 0.5000 0.5000
Sc 0.7500 0.7500 0.7500
```



Entry 11:
Material: BaLuSc
Method: DFT, PBE-GGA
State: relaxed Values from VASP.

ρ ... 5.4 g/cm3
ΔE to the lowest computed polymorph ... 213.4 meV per atom
Magnetization ... 0.0448 μB/atom

Quantum ESPRESSO input file:
```
&SYSTEM
  ibrav = 0, nat = 3, ntyp = 3
/
ATOMIC_SPECIES
Ba 137.33 Ba.upf
Lu 174.97 Lu.upf
Sc 44.96 Sc.upf
CELL_PARAMETERS angstrom
0.0000 3.8129 3.8129
3.8129 0.0000 3.8129
3.8129 3.8129 0.0000
ATOMIC_POSITIONS crystal
Ba 0.0000 0.0000 0.0000
Lu 0.7500 0.7500 0.7500
Sc 0.2500 0.2500 0.2500
```



Entry 12:
Material: BaLu2Se4
Method: DFT, PBE-GGA
State: relaxed Values from VASP.

ρ ... 6.8 g/cm3
Magnetization ... 0.0000 μB/atom
Uncorrected energy ... -154.31 eV per cell

Quantum ESPRESSO input file:
```
&SYSTEM
  ibrav = 0, nat = 28, ntyp = 3
/
ATOMIC_SPECIES
Ba 137.33 Ba.upf
Lu 174.97 Lu.upf
Se 78.96 Se.upf
CELL_PARAMETERS angstrom
12.7016 0.0000 0.0000
0.0000 4.1323 0.0000
0.0000 0.0000 14.9630
ATOMIC_POSITIONS crystal
Ba 0.2394 0.2500 0.1656
Ba 0.2606 0.7500 0.6656
Ba 0.7394 0.2500 0.3344
Ba 0.7606 0.7500 0.8344
Lu 0.0608 0.2500 0.3905
Lu 0.0809 0.2500 0.9011
Lu 0.4191 0.7500 0.4011
Lu 0.4392 0.7500 0.8905
Lu 0.5608 0.2500 0.1095
Lu 0.5809 0.2500 0.5989
Lu 0.9191 0.7500 0.0989
Lu 0.9392 0.7500 0.6095
Se 0.0271 0.7500 0.7839
Se 0.0856 0.2500 0.5750
Se 0.1231 0.7500 0.0253
Se 0.2042 0.7500 0.3415
Se 0.2958 0.2500 0.8415
Se 0.3769 0.2500 0.5253
Se 0.4144 0.7500 0.0750
Se 0.4729 0.2500 0.2839
Se 0.5271 0.7500 0.7161
Se 0.5856 0.2500 0.9250
Se 0.6231 0.7500 0.4747
Se 0.7042 0.7500 0.1585
Se 0.7958 0.2500 0.6585
Se 0.8769 0.2500 0.9747
Se 0.9144 0.7500 0.4250
Se 0.9729 0.2500 0.2161
```



Entry 13:
Material: BaSmLu
Method: DFT, PBE-GGA
State: relaxed Values from VASP.

ρ ... 5.7 g/cm3
Magnetization ... 0.0033 μB/atom
Uncorrected energy ... -8.66 eV per cell

Quantum ESPRESSO input file:
```
&SYSTEM
  ibrav = 0, nat = 3, ntyp = 3
/
ATOMIC_SPECIES
Ba 137.33 Ba.upf
Sm 150.36 Sm.upf
Lu 174.97 Lu.upf
CELL_PARAMETERS angstrom
0.0000 4.0717 4.0717
4.0717 0.0000 4.0717
4.0717 4.0717 0.0000
ATOMIC_POSITIONS crystal
Ba 0.0000 0.0000 0.0000
Sm 0.2500 0.2500 0.2500
Lu 0.5000 0.5000 0.5000
```



Entry 14:
Material: BaTbLu
Method: DFT, PBE-GGA
State: relaxed Values from VASP.

ρ ... 5.8 g/cm3
Magnetization ... 0.0012 μB/atom
Uncorrected energy ... -8.61 eV per cell

Quantum ESPRESSO input file:
```
&SYSTEM
  ibrav = 0, nat = 3, ntyp = 3
/
ATOMIC_SPECIES
Ba 137.33 Ba.upf
Tb 158.93 Tb.upf
Lu 174.97 Lu.upf
CELL_PARAMETERS angstrom
0.0000 4.0610 4.0610
4.0610 0.0000 4.0610
4.0610 4.0610 0.0000
ATOMIC_POSITIONS crystal
Ba 0.0000 0.0000 0.0000
Tb 0.5000 0.5000 0.5000
Lu 0.2500 0.2500 0.2500
```



Entry 15:
Material: BaLuTc
Method: DFT, PBE-GGA
State: relaxed Values from VASP.

ρ ... 7.9 g/cm3
ΔE to the lowest computed polymorph ... 0.0 meV per atom
Magnetization ... 0.0003 μB/atom

Quantum ESPRESSO input file:
```
&SYSTEM
  ibrav = 0, nat = 3, ntyp = 3
/
ATOMIC_SPECIES
Ba 137.33 Ba.upf
Lu 174.97 Lu.upf
Tc 98.00 Tc.upf
CELL_PARAMETERS angstrom
0.0000 3.5066 3.5066
3.5066 0.0000 3.5066
3.5066 3.5066 0.0000
ATOMIC_POSITIONS crystal
Ba 0.0000 0.0000 0.0000
Lu 0.5000 0.5000 0.5000
Tc 0.2500 0.2500 0.2500
```



Entry 16:
Material: BaLu2Tc
Method: DFT, PBE-GGA
State: relaxed Values from VASP.

ρ ... 9.3 g/cm3
Magnetization ... 0.0031 μB/atom
Uncorrected energy ... -18.73 eV per cell

Quantum ESPRESSO input file:
```
&SYSTEM
  ibrav = 0, nat = 4, ntyp = 3
/
ATOMIC_SPECIES
Ba 137.33 Ba.upf
Lu 174.97 Lu.upf
Tc 98.00 Tc.upf
CELL_PARAMETERS angstrom
0.0000 3.7425 3.7425
3.7425 0.0000 3.7425
3.7425 3.7425 0.0000
ATOMIC_POSITIONS crystal
Ba 0.0000 0.0000 0.0000
Lu 0.2500 0.2500 0.2500
Lu 0.5000 0.5000 0.5000
Tc 0.7500 0.7500 0.7500
```



Entry 17:
Material: BaLuTc
Method: DFT, PBE-GGA
State: relaxed Values from VASP.

ρ ... 7.9 g/cm3
ΔE to the lowest computed polymorph ... 921.4 meV per atom
Magnetization ... 0.3192 μB/atom

Quantum ESPRESSO input file:
```
&SYSTEM
  ibrav = 0, nat = 3, ntyp = 3
/
ATOMIC_SPECIES
Ba 137.33 Ba.upf
Lu 174.97 Lu.upf
Tc 98.00 Tc.upf
CELL_PARAMETERS angstrom
0.0000 3.5066 3.5066
3.5066 0.0000 3.5066
3.5066 3.5066 0.0000
ATOMIC_POSITIONS crystal
Ba 0.0000 0.0000 0.0000
Lu 0.7500 0.7500 0.7500
Tc 0.2500 0.2500 0.2500
```



Entry 18:
Material: BaLuTh
Method: DFT, PBE-GGA
State: relaxed Values from VASP.

ρ ... 7.0 g/cm3
ΔE to the lowest computed polymorph ... 0.0 meV per atom
Magnetization ... 0.0044 μB/atom

Quantum ESPRESSO input file:
```
&SYSTEM
  ibrav = 0, nat = 3, ntyp = 3
/
ATOMIC_SPECIES
Ba 137.33 Ba.upf
Lu 174.97 Lu.upf
Th 232.04 Th.upf
CELL_PARAMETERS angstrom
0.0000 4.0139 4.0139
4.0139 0.0000 4.0139
4.0139 4.0139 0.0000
ATOMIC_POSITIONS crystal
Ba 0.0000 0.0000 0.0000
Lu 0.2500 0.2500 0.2500
Th 0.5000 0.5000 0.5000
```



Entry 19:
Material: BaLuTl
Method: DFT, PBE-GGA
State: relaxed Values from VASP.

ρ ... 7.1 g/cm3
ΔE to the lowest computed polymorph ... 0.0 meV per atom
Magnetization ... 0.0001 μB/atom

Quantum ESPRESSO input file:
```
&SYSTEM
  ibrav = 0, nat = 3, ntyp = 3
/
ATOMIC_SPECIES
Ba 137.33 Ba.upf
Lu 174.97 Lu.upf
Tl 204.38 Tl.upf
CELL_PARAMETERS angstrom
0.0000 3.9232 3.9232
3.9232 0.0000 3.9232
3.9232 3.9232 0.0000
ATOMIC_POSITIONS crystal
Ba 0.0000 0.0000 0.0000
Lu 0.5000 0.5000 0.5000
Tl 0.2500 0.2500 0.2500
```



Entry 20:
Material: BaTmLu
Method: DFT, PBE-GGA
State: relaxed Values from VASP.

ρ ... 6.0 g/cm3
ΔE to the lowest computed polymorph ... 0.0 meV per atom
Magnetization ... 0.0046 μB/atom

Quantum ESPRESSO input file:
```
&SYSTEM
  ibrav = 0, nat = 3, ntyp = 3
/
ATOMIC_SPECIES
Ba 137.33 Ba.upf
Tm 168.93 Tm.upf
Lu 174.97 Lu.upf
CELL_PARAMETERS angstrom
0.0000 4.0424 4.0424
4.0424 0.0000 4.0424
4.0424 4.0424 0.0000
ATOMIC_POSITIONS crystal
Ba 0.0000 0.0000 0.0000
Tm 0.5000 0.5000 0.5000
Lu 0.2500 0.2500 0.2500
```